TaIrSe2 (GGA-PBEsol, relaxed); energy above the lowest structure with this stoichiometry = 0.5671 eV/atom; raw formation energy = 352 meV/atom; total magnetic moment = 0.00 μB per cell
1.0
3.337 0.000 0.000
1.668 2.890 0.000
1.668 0.963 8.105
Ir Se Ta
1 2 1
direct
0.500 0.500 0.500
0.896 0.896 0.311
0.104 0.104 0.689
0.000 0.000 0.000